<1>
# Cd12Ag2Au5 | Alexandria | PBE-GGA | optimized geometry
# space-group type	No. 12
data_Cd12Ag2Au5
_space_group_name_H-M_alt 'P 1'
_space_group_IT_number 1
_space_group_name_Hall 'P 1'
_cell_length_a 6.084
_cell_length_b 8.212
_cell_length_c 9.025
_cell_angle_alpha 103.61
_cell_angle_beta 90.00
_cell_angle_gamma 111.74
loop_
_atom_site_label
_atom_site_type_symbol
_atom_site_fract_x
_atom_site_fract_y
_atom_site_fract_z
_atom_site_occupancy
Au1 Au 0.100 0.199 0.281 1
Cd1 Cd 0.056 0.596 0.872 1
Cd2 Cd 0.897 0.794 0.182 1
Au2 Au 0.629 0.259 0.839 1
Cd3 Cd 0.574 0.668 0.435 1
Cd4 Cd 0.460 0.404 0.128 1
Cd5 Cd 0.905 0.332 0.565 1
Ag1 Ag 0.252 0.000 0.000 1
Cd6 Cd 0.440 0.881 0.707 1
Au3 Au 0.371 0.741 0.161 1
Cd7 Cd 0.426 0.332 0.565 1
Au4 Au 0.000 0.000 0.500 1
Cd8 Cd 0.095 0.668 0.435 1
Cd9 Cd 0.540 0.596 0.872 1
Cd10 Cd 0.944 0.404 0.128 1
Ag2 Ag 0.748 0.000 0.000 1
Cd11 Cd 0.560 0.119 0.293 1
Au5 Au 0.900 0.801 0.719 1
Cd12 Cd 0.103 0.206 0.818 1

<2>
# Cd12Ag2Au5 | Alexandria | PBE-GGA | optimized geometry
# space-group type	No. 12
data_Cd12Ag2Au5
_space_group_name_H-M_alt 'P 1'
_space_group_IT_number 1
_space_group_name_Hall 'P 1'
_cell_length_a 6.204
_cell_length_b 8.191
_cell_length_c 9.512
_cell_angle_alpha 96.79
_cell_angle_beta 90.00
_cell_angle_gamma 112.25
loop_
_atom_site_label
_atom_site_type_symbol
_atom_site_fract_x
_atom_site_fract_y
_atom_site_fract_z
_atom_site_occupancy
Au1 Au 0.301 0.602 0.621 1
Au2 Au 0.354 0.708 0.128 1
Cd1 Cd 0.599 0.706 0.390 1
Cd2 Cd 0.893 0.294 0.610 1
Cd3 Cd 0.043 0.087 0.234 1
Ag1 Ag 0.274 0.000 0.000 1
Cd4 Cd 0.946 0.386 0.124 1
Cd5 Cd 0.107 0.706 0.390 1
Cd6 Cd 0.440 0.386 0.124 1
Cd7 Cd 0.054 0.614 0.876 1
Cd8 Cd 0.519 0.037 0.300 1
Au3 Au 0.646 0.292 0.872 1
Au4 Au 0.699 0.398 0.379 1
Cd9 Cd 0.481 0.963 0.700 1
Cd10 Cd 0.560 0.614 0.876 1
Ag2 Ag 0.726 0.000 0.000 1
Cd11 Cd 0.957 0.913 0.766 1
Cd12 Cd 0.401 0.294 0.610 1
Au5 Au 0.000 0.000 0.500 1

Bottom line: <1>, by a margin of 0.015 eV/atom.

<1>
# CdAg7Au2 | Alexandria | PBE-GGA | optimized geometry
# space-group type	No. 65
data_CdAg7Au2
_space_group_name_H-M_alt 'P 1'
_space_group_IT_number 1
_space_group_name_Hall 'P 1'
_cell_length_a 4.468
_cell_length_b 7.980
_cell_length_c 7.980
_cell_angle_alpha 123.14
_cell_angle_beta 90.00
_cell_angle_gamma 90.00
loop_
_atom_site_label
_atom_site_type_symbol
_atom_site_fract_x
_atom_site_fract_y
_atom_site_fract_z
_atom_site_occupancy
Ag1 Ag 0.500 0.288 0.076 1
Au1 Au 0.500 0.698 0.302 1
Ag2 Ag 0.500 0.076 0.288 1
Ag3 Ag 0.500 0.500 0.500 1
Cd1 Cd 0.000 0.000 0.000 1
Ag4 Ag 0.500 0.712 0.924 1
Ag5 Ag 0.000 0.195 0.805 1
Au2 Au 0.500 0.302 0.698 1
Ag6 Ag 0.500 0.924 0.712 1
Ag7 Ag 0.000 0.805 0.195 1

<2>
# CdAg7Au2 | Alexandria | PBE-GGA | optimized geometry
# space-group type	No. 10
data_CdAg7Au2
_space_group_name_H-M_alt 'P 1'
_space_group_IT_number 1
_space_group_name_Hall 'P 1'
_cell_length_a 2.866
_cell_length_b 9.891
_cell_length_c 7.142
_cell_angle_alpha 111.81
_cell_angle_beta 90.01
_cell_angle_gamma 90.02
loop_
_atom_site_label
_atom_site_type_symbol
_atom_site_fract_x
_atom_site_fract_y
_atom_site_fract_z
_atom_site_occupancy
Ag1 Ag 0.500 0.500 0.500 1
Ag2 Ag 0.000 0.382 0.762 1
Ag3 Ag 0.000 0.618 0.238 1
Ag4 Ag 0.500 0.803 0.622 1
Ag5 Ag 0.500 0.333 0.088 1
Ag6 Ag 0.500 0.667 0.912 1
Ag7 Ag 0.500 0.197 0.378 1
Au1 Au 0.500 0.896 0.290 1
Cd1 Cd 0.000 0.000 0.000 1
Au2 Au 0.500 0.104 0.710 1

Bottom line: <2>, by a margin of 0.214 eV/atom.

<1>
# Cd5Ag2Au4 | Alexandria | PBE-GGA | optimized geometry
# space-group type	No. 12
data_Cd5Ag2Au4
_space_group_name_H-M_alt 'P 1'
_space_group_IT_number 1
_space_group_name_Hall 'P 1'
_cell_length_a 5.888
_cell_length_b 5.985
_cell_length_c 7.938
_cell_angle_alpha 77.44
_cell_angle_beta 68.23
_cell_angle_gamma 60.53
loop_
_atom_site_label
_atom_site_type_symbol
_atom_site_fract_x
_atom_site_fract_y
_atom_site_fract_z
_atom_site_occupancy
Au1 Au 0.269 0.962 0.500 1
Cd1 Cd 0.252 0.184 0.813 1
Cd2 Cd 0.249 0.816 0.187 1
Au2 Au 0.267 0.319 0.147 1
Au3 Au 0.733 0.681 0.853 1
Cd3 Cd 0.751 0.184 0.813 1
Ag1 Ag 0.242 0.680 0.836 1
Cd4 Cd 0.000 0.500 0.500 1
Au4 Au 0.731 0.038 0.500 1
Cd5 Cd 0.748 0.816 0.187 1
Ag2 Ag 0.758 0.320 0.164 1

<2>
# Cd5Ag2Au4 | Alexandria | PBE-GGA | optimized geometry
# space-group type	No. 55
data_Cd5Ag2Au4
_space_group_name_H-M_alt 'P 1'
_space_group_IT_number 1
_space_group_name_Hall 'P 1'
_cell_length_a 4.619
_cell_length_b 5.674
_cell_length_c 16.601
_cell_angle_alpha 90.00
_cell_angle_beta 90.00
_cell_angle_gamma 90.00
loop_
_atom_site_label
_atom_site_type_symbol
_atom_site_fract_x
_atom_site_fract_y
_atom_site_fract_z
_atom_site_occupancy
Cd1 Cd 0.000 0.931 0.300 1
Au1 Au 0.500 0.356 0.878 1
Cd2 Cd 0.000 0.500 0.000 1
Cd3 Cd 0.000 0.000 0.500 1
Au2 Au 0.500 0.856 0.622 1
Ag1 Ag 0.500 0.602 0.293 1
Au3 Au 0.500 0.211 0.041 1
Ag2 Ag 0.500 0.898 0.793 1
Cd4 Cd 0.000 0.457 0.397 1
Ag3 Ag 0.500 0.102 0.207 1
Au4 Au 0.500 0.711 0.459 1
Au5 Au 0.500 0.144 0.378 1
Cd5 Cd 0.000 0.043 0.897 1
Cd6 Cd 0.000 0.069 0.700 1
Cd7 Cd 0.000 0.543 0.603 1
Au6 Au 0.500 0.289 0.541 1
Cd8 Cd 0.000 0.569 0.800 1
Ag4 Ag 0.500 0.398 0.707 1
Cd9 Cd 0.000 0.957 0.103 1
Cd10 Cd 0.000 0.431 0.200 1
Au7 Au 0.500 0.644 0.122 1
Au8 Au 0.500 0.789 0.959 1

Bottom line: <2>, by a margin of 0.041 eV/atom.

<1>
# Cd5Ag4Au | Alexandria | PBE-GGA | optimized geometry
# space-group type	No. 123
data_Cd5Ag4Au
_space_group_name_H-M_alt 'P 1'
_space_group_IT_number 1
_space_group_name_Hall 'P 1'
_cell_length_a 3.449
_cell_length_b 3.449
_cell_length_c 16.319
_cell_angle_alpha 90.00
_cell_angle_beta 90.00
_cell_angle_gamma 90.00
loop_
_atom_site_label
_atom_site_type_symbol
_atom_site_fract_x
_atom_site_fract_y
_atom_site_fract_z
_atom_site_occupancy
Cd1 Cd 0.500 0.500 0.901 1
Cd2 Cd 0.500 0.500 0.099 1
Cd3 Cd 0.500 0.500 0.300 1
Ag1 Ag 0.000 0.000 0.600 1
Au1 Au 0.000 0.000 0.000 1
Ag2 Ag 0.000 0.000 0.201 1
Cd4 Cd 0.500 0.500 0.500 1
Cd5 Cd 0.500 0.500 0.700 1
Ag3 Ag 0.000 0.000 0.799 1
Ag4 Ag 0.000 0.000 0.400 1

<2>
# Cd5Ag4Au | Alexandria | PBE-GGA | optimized geometry
# space-group type	No. 79
data_Cd5Ag4Au
_space_group_name_H-M_alt 'P 1'
_space_group_IT_number 1
_space_group_name_Hall 'P 1'
_cell_length_a 5.221
_cell_length_b 7.028
_cell_length_c 7.028
_cell_angle_alpha 82.07
_cell_angle_beta 68.20
_cell_angle_gamma 68.20
loop_
_atom_site_label
_atom_site_type_symbol
_atom_site_fract_x
_atom_site_fract_y
_atom_site_fract_z
_atom_site_occupancy
Ag1 Ag 0.544 0.562 0.298 1
Cd1 Cd 0.610 0.000 0.000 1
Ag2 Ag 0.403 0.438 0.702 1
Au1 Au 0.115 0.000 0.000 1
Cd2 Cd 0.230 0.893 0.594 1
Cd3 Cd 0.716 0.107 0.406 1
Cd4 Cd 0.823 0.406 0.893 1
Ag3 Ag 0.841 0.702 0.562 1
Cd5 Cd 0.122 0.594 0.107 1
Ag4 Ag 0.106 0.298 0.438 1

Bottom line: <1>, by a margin of 0.140 eV/atom.

<1>
# Cd6Ag2Au | Alexandria | PBE-GGA | optimized geometry
# space-group type	No. 12
data_Cd6Ag2Au
_space_group_name_H-M_alt 'P 1'
_space_group_IT_number 1
_space_group_name_Hall 'P 1'
_cell_length_a 4.557
_cell_length_b 6.655
_cell_length_c 8.201
_cell_angle_alpha 113.94
_cell_angle_beta 107.14
_cell_angle_gamma 90.00
loop_
_atom_site_label
_atom_site_type_symbol
_atom_site_fract_x
_atom_site_fract_y
_atom_site_fract_z
_atom_site_occupancy
Ag1 Ag 0.667 0.667 0.334 1
Cd1 Cd 0.833 0.076 0.667 1
Cd2 Cd 0.167 0.924 0.333 1
Cd3 Cd 0.167 0.409 0.333 1
Au1 Au 0.000 0.000 0.000 1
Ag2 Ag 0.333 0.333 0.666 1
Cd4 Cd 0.833 0.591 0.667 1
Cd5 Cd 0.500 0.256 0.000 1
Cd6 Cd 0.500 0.744 0.000 1

<2>
# Cd6Ag2Au | Alexandria | PBE-GGA | optimized geometry
# space-group type	No. 12
data_Cd6Ag2Au
_space_group_name_H-M_alt 'P 1'
_space_group_IT_number 1
_space_group_name_Hall 'P 1'
_cell_length_a 5.194
_cell_length_b 5.194
_cell_length_c 9.031
_cell_angle_alpha 77.36
_cell_angle_beta 77.36
_cell_angle_gamma 50.99
loop_
_atom_site_label
_atom_site_type_symbol
_atom_site_fract_x
_atom_site_fract_y
_atom_site_fract_z
_atom_site_occupancy
Ag1 Ag 0.673 0.673 0.273 1
Cd1 Cd 0.003 0.003 0.176 1
Ag2 Ag 0.327 0.327 0.727 1
Cd2 Cd 0.997 0.997 0.824 1
Cd3 Cd 0.337 0.337 0.396 1
Au1 Au 0.000 0.000 0.500 1
Cd4 Cd 0.666 0.666 0.943 1
Cd5 Cd 0.334 0.334 0.057 1
Cd6 Cd 0.663 0.663 0.604 1

Bottom line: <2>, by a margin of 0.035 eV/atom.